A plane-wave DFT calculation with PBE+U was carried out for a relaxed Cs2NaVO4 crystal.

extended XYZ file:
```
16
Lattice="0.000 6.229 11.072 2.776 0.000 11.072 2.776 6.229 0.000" Properties=species:S:1:pos:R:3 pbc="T T T"
Cs 2.082 4.672 1.122
Cs 3.470 7.786 6.658
Cs 2.082 4.672 15.486
Cs 3.470 7.786 21.022
Na 0.694 1.557 2.768
Na 4.857 10.901 19.375
V 2.082 4.672 8.304
V 3.470 7.786 13.840
O 3.124 3.645 7.337
O 3.124 5.698 9.271
O 4.512 6.760 14.807
O 4.512 8.813 12.872
O 1.039 3.645 9.271
O 1.039 5.698 7.337
O 2.427 6.760 12.872
O 2.427 8.813 14.807
```

Calculated values
energy above the most stable polymorph in this dataset	1.12	eV/f.u.
Fermi-level density of states	0.000	states/eV per cell
space-group type	Fddd, No. 70
density	3.5	g/cm³